(1)
Material: CdSbAs2Se
Method: DFT, PBEsol
State: optimized geometry

Calculated values
**Electronic total energy**: -3.183 eV/atom
**ΔE_f (raw)**: 780 meV per atom

a b c (Å): 5.200 5.242 5.242
angles (deg): 90.00 90.00 90.00
Fractional positions:
As (0.000, 0.500, 0.000)
As (0.000, 0.000, 0.500)
Sb (0.000, 0.000, 0.000)
Cd (0.500, 0.500, 0.500)
Se (0.500, 0.000, 0.000)



(2)
Material: BeSb2Rh
Method: DFT, PBEsol
State: optimized geometry

Calculated values
**Electronic total energy**: -5.065 eV/atom
**ΔE_f (raw)**: 248 meV per atom

a b c (Å): 3.263 4.708 4.708
angles (deg): 102.01 90.00 90.00
Fractional positions:
Be (0.500, 0.000, 0.000)
Rh (0.500, 0.500, 0.500)
Sb (0.000, 0.000, 0.500)
Sb (0.000, 0.500, 0.000)



(3)
Material: SiRh2
Method: DFT, PBEsol
State: optimized geometry

Calculated values
**Electronic total energy**: -7.909 eV/atom
**ΔE_f (raw)**: -568 meV per atom

a b c (Å): 2.811 2.811 10.418
angles (deg): 97.75 97.75 90.00
Fractional positions:
Rh (0.819, 0.319, 0.638)
Rh (0.681, 0.181, 0.362)
Rh (0.569, 0.569, 0.138)
Rh (0.431, 0.431, 0.862)
Si (0.000, 0.000, 0.000)
Si (0.250, 0.750, 0.500)



(4)
Material: BaHgPb2
Method: DFT, PBEsol
State: optimized geometry

Calculated values
**Electronic total energy**: -2.898 eV/atom

a b c (Å): 3.502 6.182 6.182
angles (deg): 112.22 90.00 90.00
Fractional positions:
Pb (0.000, 0.000, 0.500)
Pb (0.000, 0.500, 0.000)
Hg (0.500, 0.500, 0.500)
Ba (0.500, 0.000, 0.000)



(5)
Material: RbSrRh2
Method: DFT, PBEsol
State: optimized geometry

Calculated values
**Electronic total energy**: -3.986 eV/atom

a b c (Å): 5.030 5.030 5.030
angles (deg): 60.00 60.00 60.00
Fractional positions:
Sr (0.500, 0.500, 0.500)
Rh (0.250, 0.250, 0.250)
Rh (0.750, 0.750, 0.750)
Rb (0.000, 0.000, 0.000)



(6)
Material: MgAg2
Method: DFT, PBEsol
State: optimized geometry

Calculated values
**Electronic total energy**: -2.942 eV/atom

a b c (Å): 4.612 4.612 5.612
angles (deg): 90.00 90.00 120.00
Fractional positions:
Mg (0.667, 0.333, 0.250)
Mg (0.333, 0.667, 0.750)
Ag (0.333, 0.667, 0.250)
Ag (0.667, 0.333, 0.750)
Ag (0.000, 0.000, 0.000)
Ag (0.000, 0.000, 0.500)



(7)
Material: Mn2CdPb
Method: DFT, PBEsol
State: optimized geometry

Calculated values
**Electronic total energy**: -5.685 eV/atom

a b c (Å): 3.934 4.257 4.257
angles (deg): 90.00 90.00 90.00
Site moments in Bohr magnetons follow the coordinates.
Fractional positions:
Mn (0.000, 0.500, 0.000)  3.43
Mn (0.000, 0.000, 0.500)  3.43
Cd (0.500, 0.000, 0.000)  -0.05
Pb (0.500, 0.500, 0.500)  -0.08



(8)
Material: Be2CuRh
Method: DFT, PBEsol
State: optimized geometry

Calculated values
**Electronic total energy**: -5.549 eV/atom

a b c (Å): 3.828 3.828 3.828
angles (deg): 60.00 60.00 60.00
Fractional positions:
Cu (0.000, 0.000, 0.000)
Rh (0.500, 0.500, 0.500)
Be (0.250, 0.250, 0.250)
Be (0.750, 0.750, 0.750)



(9)
Material: Zr2TcOs
Method: DFT, PBEsol
State: optimized geometry

Calculated values
**Electronic total energy**: -10.877 eV/atom

a b c (Å): 3.239 3.239 6.502
angles (deg): 90.00 90.00 90.00
Fractional positions:
Zr (0.000, 0.000, 0.252)
Zr (0.000, 0.000, 0.748)
Os (0.500, 0.500, 0.000)
Tc (0.500, 0.500, 0.500)



(10)
Material: ZrIn2Tc
Method: DFT, PBEsol
State: optimized geometry

Calculated values
**Electronic total energy**: -6.497 eV/atom

a b c (Å): 3.201 3.201 9.510
angles (deg): 80.31 80.31 60.00
Fractional positions:
Tc (0.505, 0.505, 0.485)
In (0.760, 0.760, 0.720)
In (0.998, 0.998, 0.007)
Zr (0.238, 0.238, 0.287)



(11)
Material: TePt
Method: DFT, PBEsol
State: optimized geometry

Calculated values
**Electronic total energy**: -5.301 eV/atom
**ΔE_f (raw)**: -57 meV per atom

a b c (Å): 3.478 3.589 7.305
angles (deg): 90.00 90.00 90.00
Fractional positions:
Te (0.500, 0.750, 0.221)
Te (0.500, 0.250, 0.779)
Pt (0.000, 0.250, 0.358)
Pt (0.000, 0.750, 0.642)



(12)
Material: Tl2Hg
Method: DFT, PBEsol
State: optimized geometry

Calculated values
**Electronic total energy**: -1.950 eV/atom

a b c (Å): 3.520 8.899 8.899
angles (deg): 120.00 90.00 90.00
Fractional positions:
Hg (0.000, 0.667, 0.333)
Hg (0.000, 0.333, 0.667)
Hg (0.500, 0.000, 0.000)
Tl (0.000, 0.703, 0.703)
Tl (0.000, 0.297, 0.000)
Tl (0.500, 0.369, 0.369)
Tl (0.500, 0.631, 0.000)
Tl (0.000, 0.000, 0.297)
Tl (0.500, 0.000, 0.631)